[1]
DFT (GGA-PBE) results for a relaxed structure of YAl4Ag8.

It has space group I4/mmm (No. 139), with a = 9.327 Å, b = 9.327 Å, c = 5.386 Å, α = 90.00°, β = 90.00° and γ = 90.00°. The asymmetric unit holds Y at (0.000, 0.000, 0.000), Al at (0.250, 0.250, 0.250), Ag at (0.000, 0.217, 0.500) and Ag at (0.000, 0.342, 0.000).

The energy relative to the elements comes out at -0.196 eV/atom. As for the density of states at the Fermi level: 0.37 states/eV per atom.



[2]
DFT (GGA-PBE) results for a relaxed structure of LiPr2Ga4Au3.

It has space group P-4m2 (No. 115), with a = 4.402 Å, b = 4.402 Å, c = 10.701 Å, α = 90.00°, β = 90.00° and γ = 90.00°. The asymmetric unit holds Li at (0.000, 0.000, 0.000), Pr at (0.000, 0.500, 0.750), Ga at (0.000, 0.000, 0.500), Ga at (0.000, 0.500, 0.130), Ga at (0.500, 0.500, 0.500), Au at (0.000, 0.500, 0.366) and Au at (0.500, 0.500, 0.000).

The energy relative to the elements comes out at -0.619 eV/atom. As for the density of states at the Fermi level: 0.52 states/eV per atom.



[3]
DFT (GGA-PBE) results for a relaxed structure of TiTeC.

It has space group Immm (No. 71), with a = 3.938 Å, b = 3.994 Å, c = 14.277 Å, α = 90.00°, β = 90.00° and γ = 90.00°. The asymmetric unit holds Ti at (0.000, 0.000, 0.111), Te at (0.000, 0.000, 0.322) and C at (0.000, 0.336, 0.000).

For the energy relative to the elements, uncorrected, the calculation gives -0.01 eV/atom. As for the density of states at the Fermi level: 0.75 states/eV per atom.



[4]
DFT (GGA-PBE) results for a relaxed structure of RbTlCrCu2.

It has space group P4/mmm (No. 123), with a = 5.158 Å, b = 5.158 Å, c = 5.426 Å, α = 90.00°, β = 90.00° and γ = 90.00°. The asymmetric unit holds Rb at (0.000, 0.000, 0.000), Tl at (0.500, 0.500, 0.500), Cr at (0.500, 0.500, 0.000) and Cu at (0.000, 0.500, 0.500).

The energy relative to the elements comes out at 0.796 eV/atom. As for the density of states at the Fermi level: 0.40 states/eV per atom.



[5]
DFT (GGA-PBE) results for a relaxed structure of RbBiPbO3.

It has space group P2_1/m (No. 11), with a = 6.583 Å, b = 3.572 Å, c = 11.201 Å, α = 90.00°, β = 93.63° and γ = 90.00°. The asymmetric unit holds Rb at (0.208, 0.250, 0.239), Bi at (0.323, 0.250, 0.900), Pb at (0.228, 0.750, 0.570), O at (0.030, 0.250, 0.615), O at (0.357, 0.750, 0.058) and O at (0.360, 0.750, 0.777).

For the energy relative to the elements, uncorrected, the calculation gives -1.24 eV/atom.



[6]
DFT (GGA-PBE) results for a relaxed structure of CaFe2Os.

It has space group I-4m2 (No. 119), with a = 3.880 Å, b = 3.880 Å, c = 8.505 Å, α = 90.00°, β = 90.00° and γ = 90.00°. The asymmetric unit holds Ca at (0.000, 0.000, 0.000), Fe at (0.000, 0.000, 0.500), Fe at (0.000, 0.500, 0.750) and Os at (0.000, 0.500, 0.250).

For the energy above the lowest structure with this stoichiometry, the calculation gives 422 meV/atom. The energy relative to the elements comes out at 0.740 eV/atom. As for the density of states at the Fermi level: 1.11 states/eV per atom.